[1]
Below is Rb2Hg6Pt after structural relaxation, with properties calculated at the PBE level.

Summary:
Polymorph energy (0 for the lowest one): 0.000 eV per formula unit
Energy of formation: -0.22 eV per atom
DOS at the Fermi energy: 3.5 states/eV/f.u.
Volume: 31.6 Å³ per atom

Unit cell a=5.423 b=5.423 c=10.402 alpha=105.11 beta=105.11 gamma=90.00
Sites, in units of the cell vectors:
Hg: 0.354 0.354 0.709
Hg: 0.646 0.646 0.291
Hg: 0.250 0.750 0.500
Hg: 0.750 0.250 0.500
Hg: 0.000 0.500 0.000
Hg: 0.500 0.000 0.000
Rb: 0.126 0.126 0.252
Rb: 0.874 0.874 0.748
Pt: 0.500 0.500 0.000



[2]
Below is Dy2Zn5Cd after structural relaxation, with properties calculated at the PBE level.

Summary:
Energy of formation: -0.29 eV per atom
DOS at the Fermi energy: 4.9 states/eV/f.u.
Volume: 19.9 Å³ per atom

Unit cell a=4.313 b=8.399 c=9.077 alpha=90.00 beta=90.00 gamma=104.88
Sites, in units of the cell vectors:
Cd: 0.552 0.104 0.250
Cd: 0.448 0.896 0.750
Zn: 0.609 0.217 0.750
Zn: 0.391 0.783 0.250
Zn: 0.347 0.694 0.980
Zn: 0.347 0.694 0.520
Zn: 0.813 0.625 0.392
Zn: 0.187 0.375 0.608
Zn: 0.813 0.625 0.108
Zn: 0.653 0.306 0.480
Zn: 0.653 0.306 0.020
Zn: 0.187 0.375 0.892
Dy: 0.201 0.403 0.250
Dy: 0.000 0.000 0.000
Dy: 0.799 0.597 0.750
Dy: 0.000 0.000 0.500



[3]
Below is AgAu2Se after structural relaxation, with properties calculated at the PBE level.

Summary:
DOS at the Fermi energy: 1.4 states/eV/f.u.
Raw formation energy: 0.069 eV/atom
Volume: 19.9 Å³ per atom

Unit cell a=3.824 b=2.926 c=7.121 alpha=90.05 beta=90.00 gamma=90.00
Sites, in units of the cell vectors:
Au: 0.500 0.500 0.224
Au: 0.000 0.999 0.002
Se: 0.000 0.501 0.495
Ag: 0.500 0.500 0.779



[4]
Below is CsCuAs2 after structural relaxation, with properties calculated at the PBE level.

Summary:
Polymorph energy (0 for the lowest one): 3.325 eV per formula unit
Energy of formation: 0.75 eV per atom
DOS at the Fermi energy: 2.7 states/eV/f.u.
Volume: 24.8 Å³ per atom

Unit cell a=5.194 b=5.194 c=5.194 alpha=60.00 beta=60.00 gamma=60.00
Sites, in units of the cell vectors:
As: 0.250 0.250 0.250
As: 0.750 0.750 0.750
Cu: 0.000 0.000 0.000
Cs: 0.500 0.500 0.500



[5]
Below is ScAlAgPb after structural relaxation, with properties calculated at the PBE level.

Summary:
Polymorph energy (0 for the lowest one): 0.385 eV per formula unit
Energy of formation: -0.11 eV per atom
DOS at the Fermi energy: 2.5 states/eV/f.u.
Volume: 21.8 Å³ per atom

Unit cell a=5.072 b=3.479 c=5.218 alpha=90.00 beta=108.76 gamma=90.00
Sites, in units of the cell vectors:
Pb: 0.478 0.000 0.706
Sc: 0.975 0.000 0.208
Ag: 0.978 0.500 0.709
Al: 0.475 0.500 0.206



[6]
Below is YSn3Rh after structural relaxation, with properties calculated at the PBE level.

Summary:
Energy of formation: -0.48 eV per atom
DOS at the Fermi energy: 2.3 states/eV/f.u.
Volume: 24.2 Å³ per atom

Unit cell a=4.465 b=7.138 c=7.590 alpha=90.00 beta=90.00 gamma=90.00
Sites, in units of the cell vectors:
Rh: 0.750 0.750 0.395
Rh: 0.250 0.250 0.605
Sn: 0.250 0.534 0.339
Sn: 0.750 0.034 0.661
Sn: 0.750 0.750 0.044
Sn: 0.750 0.466 0.661
Sn: 0.250 0.250 0.956
Sn: 0.250 0.966 0.339
Y: 0.250 0.750 0.738
Y: 0.750 0.250 0.262



[7]
Below is TiZn3Pt after structural relaxation, with properties calculated at the PBE level.

Summary:
Polymorph energy (0 for the lowest one): 3.513 eV per formula unit
Energy of formation: 0.35 eV per atom
DOS at the Fermi energy: 2.3 states/eV/f.u.
Volume: 20.9 Å³ per atom

Unit cell a=4.707 b=4.707 c=4.707 alpha=90.00 beta=90.00 gamma=90.00
Sites, in units of the cell vectors:
Zn: 0.000 0.000 0.500
Zn: 0.500 0.000 0.000
Zn: 0.000 0.500 0.000
Pt: 0.000 0.000 0.000
Ti: 0.500 0.500 0.500



[8]
Below is ZrCr2CdSi after structural relaxation, with properties calculated at the PBE level.

Summary:
Polymorph energy (0 for the lowest one): 0.620 eV per formula unit
DOS at the Fermi energy: 5.7 states/eV/f.u.
Raw formation energy: 1.514 eV/atom
Volume: 25.1 Å³ per atom

Unit cell a=4.846 b=5.336 c=4.846 alpha=90.00 beta=90.00 gamma=90.00
Each line ends with the local moment (μB).
Sites, in units of the cell vectors:
Si: 0.500 0.500 0.500  -0.04
Cr: 0.500 0.000 0.000  3.56
Cr: 0.000 0.000 0.500  3.78
Zr: 0.000 0.500 0.000  -0.42
Cd: 0.000 0.000 0.000  0.01